#a
# PrDy2Er8

A relaxed PrDy2Er8 crystal (GGA-PBE, Alexandria).

The structure in CIF format:
```
data_PrDy2Er8
_chemical_formula_sum 'Pr1 Dy2 Er8'
_symmetry_space_group_name_H-M 'P 1'
_symmetry_Int_Tables_number 1
_cell_length_a 5.4432
_cell_length_b 8.0612
_cell_length_c 9.3312
_cell_angle_alpha 115.59
_cell_angle_beta 106.96
_cell_angle_gamma 90.00
loop_
_symmetry_equiv_pos_as_xyz
'x,y,z'
loop_
_atom_site_label
_atom_site_type_symbol
_atom_site_fract_x
_atom_site_fract_y
_atom_site_fract_z
Dy1 Dy 0.1995 0.6994 0.3990
Dy2 Dy 0.8005 0.3006 0.6010
Er1 Er 0.0000 0.7047 0.0001
Er2 Er 0.8370 0.8369 0.6739
Er3 Er 0.0000 0.2953 0.9999
Er4 Er 0.3594 0.5662 0.7187
Er5 Er 0.1630 0.1631 0.3261
Er6 Er 0.3592 0.1522 0.7185
Er7 Er 0.6406 0.4338 0.2813
Er8 Er 0.6408 0.8478 0.2815
Pr1 Pr 0.5000 0.0000 0.0000
```

Summary:
N(E_F)   1.333 states/eV per atom

#b
# PrDy2Er8

A relaxed PrDy2Er8 crystal (GGA-PBE, Alexandria).

The structure in CIF format:
```
data_PrDy2Er8
_chemical_formula_sum 'Pr1 Dy2 Er8'
_symmetry_space_group_name_H-M 'P 1'
_symmetry_Int_Tables_number 1
_cell_length_a 4.9917
_cell_length_b 7.8978
_cell_length_c 9.3440
_cell_angle_alpha 104.70
_cell_angle_beta 105.49
_cell_angle_gamma 90.00
loop_
_symmetry_equiv_pos_as_xyz
'x,y,z'
loop_
_atom_site_label
_atom_site_type_symbol
_atom_site_fract_x
_atom_site_fract_y
_atom_site_fract_z
Dy1 Dy 0.7721 0.3634 0.5443
Dy2 Dy 0.2279 0.6366 0.4557
Er1 Er 0.4088 0.5429 0.8176
Er2 Er 0.1375 0.1836 0.2750
Er3 Er 0.0456 0.7257 0.0913
Er4 Er 0.3177 0.0917 0.6354
Er5 Er 0.8625 0.8164 0.7250
Er6 Er 0.9544 0.2743 0.9087
Er7 Er 0.6823 0.9083 0.3646
Er8 Er 0.5912 0.4571 0.1824
Pr1 Pr 0.5000 0.0000 0.0000
```

Summary:
N(E_F)   1.332 states/eV per atom

Unit: meV/atom. Relative energies: #a 92; #b 0.